Entry from Alexandria via LeMat-Bulk: an optimized crystal structure of Cs2Rb8P (PBE).

abc: 12.9962 12.9962 8.9698
angles: 109.31 109.31 42.93
Closest atoms and distances in Å follow each position.
Atoms (fractional coordinates):
Cs  0.1339  0.1339  0.2977  1 P 3.39
Cs  0.8661  0.8661  0.7023  1 P 3.39
Rb  0.1949  0.7095  0.1817  1 P 3.27
Rb  0.2518  0.2518  0.8900  8 Rb 4.94-5.28, 2 Cs 5.06-5.38
Rb  0.2905  0.8051  0.8183  1 P 3.27
Rb  0.3523  0.3523  0.4968  3 Cs 4.94-5.07, 6 Rb 4.94-5.19
Rb  0.6477  0.6477  0.5032  3 Cs 4.94-5.07, 6 Rb 4.94-5.19
Rb  0.7095  0.1949  0.1817  1 P 3.27
Rb  0.7482  0.7482  0.1100  8 Rb 4.94-5.28, 2 Cs 5.06-5.38
Rb  0.8051  0.2905  0.8183  1 P 3.27
P  0.0000  0.0000  0.0000  4 Rb 3.27, 2 Cs 3.39

Summary:
SG ... C2/m
DOS at the Fermi energy ... 0.70 states/eV per atom
Formation energy from the elements ... -0.046 eV/atom
Calculated total energy ... -15.4 eV per cell